Record 1
The following is a PBE calculation of a relaxed UTl2Os3O12 crystal, from Alexandria via LeMat-Bulk.

Output
Total magnetic moment, μB per formula unit: 0.0
Energy, eV for the cell shown: -135.2
E_form (uncorrected), kJ/mol of atoms: -139
Space-group type: R-3m (166)

Lattice parameters (Å, degrees): 7.539 7.539 7.539 57.56 57.56 57.56
Sites, in units of the cell vectors:
U (0.000, 0.000, 0.000)
Tl (0.646, 0.646, 0.646)
Tl (0.354, 0.354, 0.354)
Os (0.500, 0.000, 0.000)
Os (0.000, 0.500, 0.000)
Os (0.000, 0.000, 0.500)
O (0.303, 0.303, 0.928)
O (0.924, 0.924, 0.340)
O (0.340, 0.924, 0.924)
O (0.928, 0.303, 0.303)
O (0.924, 0.340, 0.924)
O (0.303, 0.928, 0.303)
O (0.697, 0.697, 0.072)
O (0.076, 0.076, 0.660)
O (0.660, 0.076, 0.076)
O (0.072, 0.697, 0.697)
O (0.076, 0.660, 0.076)
O (0.697, 0.072, 0.697)


Record 2
The following is a PBE calculation of a relaxed UTlOsO6 crystal, from Alexandria via LeMat-Bulk.

Output
Total magnetic moment, μB per formula unit: 0.9
Energy, eV for the cell shown: -143.1
E_form (uncorrected), kJ/mol of atoms: -181
Space-group type: Imma (74)

Lattice parameters (Å, degrees): 7.874 7.276 7.582 118.67 121.28 90.00
Sites, in units of the cell vectors:
U (0.500, 0.000, 0.500)
U (0.000, 0.000, 0.500)
Tl (0.893, 0.643, 0.787)
Tl (0.107, 0.357, 0.213)
Os (0.500, 0.500, 0.000)
Os (0.500, 0.000, 0.000)
O (0.462, 0.712, 0.925)
O (0.831, 0.081, 0.661)
O (0.804, 0.082, 0.253)
O (0.448, 0.671, 0.253)
O (0.448, 0.082, 0.253)
O (0.804, 0.671, 0.253)
O (0.538, 0.288, 0.075)
O (0.169, 0.919, 0.339)
O (0.196, 0.918, 0.747)
O (0.552, 0.329, 0.747)
O (0.552, 0.918, 0.747)
O (0.196, 0.329, 0.747)


| no. | DOS at the Fermi energy (states/eV/cell) |
| --- | --- |
| 1 | 8.2 |
| 2 | 7.1 |